No. 1
Density functional theory data (PBE) for an optimized crystal structure of MgScCo2.

Values from the calculation:
ΔE_f, eV per atom: -0.051
Fermi-level density of states, states/eV/cell: 3.72
SG: Imm2 (44)
Total magnetic moment, μB/cell: 1.68

a b c (Å): 5.2624 5.2624 4.2960
angles (deg): 65.94 65.94 34.10
Positions (direct):
Co 0.0248 0.0248 0.9754
Co 0.7288 0.7288 0.7711
Mg 0.4818 0.4818 0.5182
Sc 0.2646 0.2646 0.2353

---

No. 2
Density functional theory data (PBE) for an optimized crystal structure of Mg2ScCo.

Values from the calculation:
ΔE_f, eV per atom: 0.232
Fermi-level density of states, states/eV/cell: 4.66
SG: R-3m (166)
Total magnetic moment, μB/cell: 1.52

a b c (Å): 9.6192 9.6192 9.6192
angles (deg): 18.27 18.27 18.27
Positions (direct):
Co 0.2500 0.2500 0.2500
Mg 0.9865 0.9865 0.9865
Mg 0.5135 0.5135 0.5135
Sc 0.7500 0.7500 0.7500

---

No. 3
Density functional theory data (PBE) for an optimized crystal structure of Mg2ScCo.

Values from the calculation:
ΔE_f, eV per atom: 0.024
Fermi-level density of states, states/eV/cell: 3.09
SG: Cm (8)
Total magnetic moment, μB/cell: 0.00

a b c (Å): 5.5468 5.5468 4.9197
angles (deg): 63.58 63.58 34.15
Positions (direct):
Co 0.2419 0.2419 0.2570
Mg 0.9594 0.9594 0.0412
Mg 0.7497 0.7497 0.7504
Sc 0.5490 0.5490 0.4514

---

No. 4
Density functional theory data (PBE) for an optimized crystal structure of Mg3Sc3Co.

Values from the calculation:
ΔE_f, eV per atom: -0.082
Fermi-level density of states, states/eV/cell: 33.69
SG: Fd-3m (227)
Total magnetic moment, μB/cell: 0.01

a b c (Å): 9.5219 9.5219 9.5219
angles (deg): 60.00 60.00 60.00
Positions (direct):
Mg 0.8355 0.8355 0.8355
Mg 0.4145 0.4145 0.7565
Mg 0.4145 0.7565 0.4145
Mg 0.7565 0.4145 0.4145
Mg 0.8355 0.4935 0.8355
Mg 0.4935 0.8355 0.8355
Mg 0.8355 0.8355 0.4935
Mg 0.4145 0.4145 0.4145
Mg 0.6250 0.6250 0.6250
Mg 0.6250 0.6250 0.1250
Mg 0.6250 0.1250 0.6250
Mg 0.1250 0.6250 0.6250
Sc 0.0593 0.4407 0.0593
Sc 0.1907 0.1907 0.8093
Sc 0.8093 0.8093 0.1907
Sc 0.8093 0.1907 0.8093
Sc 0.8093 0.1907 0.1907
Sc 0.1907 0.8093 0.8093
Sc 0.4407 0.0593 0.0593
Sc 0.0593 0.0593 0.4407
Sc 0.4407 0.4407 0.0593
Sc 0.0593 0.4407 0.4407
Sc 0.1907 0.8093 0.1907
Sc 0.4407 0.0593 0.4407
Co 0.1250 0.1250 0.1250
Co 0.1250 0.1250 0.6250
Co 0.1250 0.6250 0.1250
Co 0.6250 0.1250 0.1250

---

No. 5
Density functional theory data (PBE) for an optimized crystal structure of MgSc5Co.

Values from the calculation:
ΔE_f, eV per atom: 0.111
Fermi-level density of states, states/eV/cell: 19.66
SG: C2/c (15)
Total magnetic moment, μB/cell: 0.00

a b c (Å): 6.2866 6.2866 10.1037
angles (deg): 66.18 66.18 89.34
Positions (direct):
Mg 0.8304 0.1696 0.2500
Mg 0.1696 0.8304 0.7500
Sc 0.6964 0.7041 0.1510
Sc 0.2920 0.6739 0.5049
Sc 0.7041 0.6964 0.6510
Sc 0.1412 0.8588 0.2500
Sc 0.3261 0.7080 0.9951
Sc 0.6739 0.2920 0.0049
Sc 0.8588 0.1412 0.7500
Sc 0.2959 0.3036 0.3490
Sc 0.7080 0.3261 0.4951
Sc 0.3036 0.2959 0.8490
Co 0.0000 0.0000 0.0000
Co 0.0000 0.0000 0.5000

---

No. 6
Density functional theory data (PBE) for an optimized crystal structure of MgSc6Co2.

Values from the calculation:
ΔE_f, eV per atom: -0.187
Fermi-level density of states, states/eV/cell: 25.37
SG: Immm (71)
Total magnetic moment, μB/cell: 0.00

a b c (Å): 7.8258 7.8258 7.8258
angles (deg): 106.45 109.62 112.40
Positions (direct):
Mg 0.0000 0.5000 0.5000
Mg 0.0000 0.0000 0.0000
Sc 0.4718 0.2850 0.1868
Sc 0.5282 0.7150 0.8132
Sc 0.9017 0.7150 0.1868
Sc 0.0983 0.2850 0.8132
Sc 0.2114 0.7639 0.9753
Sc 0.7886 0.2361 0.0247
Sc 0.7886 0.7639 0.5525
Sc 0.2114 0.2361 0.4475
Sc 0.3072 0.9877 0.6805
Sc 0.6928 0.0123 0.3195
Sc 0.6928 0.3734 0.6805
Sc 0.3072 0.6266 0.3195
Co 0.5000 0.3799 0.8799
Co 0.5000 0.6201 0.1201
Co 0.3407 0.0000 0.3407
Co 0.6593 0.0000 0.6593

---

No. 7
Density functional theory data (PBE) for an optimized crystal structure of Mg2ScCo.

Values from the calculation:
ΔE_f, eV per atom: 0.160
Fermi-level density of states, states/eV/cell: 5.60
SG: Fm-3m (225)
Total magnetic moment, μB/cell: 0.91

a b c (Å): 4.6534 4.6534 4.6534
angles (deg): 60.00 60.00 60.00
Positions (direct):
Sc 0.0000 0.0000 0.0000
Mg 0.2500 0.2500 0.2500
Mg 0.7500 0.7500 0.7500
Co 0.5000 0.5000 0.5000

---

No. 8
Density functional theory data (PBE) for an optimized crystal structure of MgScCo.

Values from the calculation:
ΔE_f, eV per atom: -0.013
Fermi-level density of states, states/eV/cell: 13.52
SG: P6_222 (180)
Total magnetic moment, μB/cell: 0.00

a b c (Å): 6.0633 6.0633 10.9126
angles (deg): 90.00 90.00 120.00
Positions (direct):
Mg 0.5000 0.0000 0.6667
Mg 0.0000 0.0000 0.5000
Mg 0.0000 0.0000 0.8333
Mg 0.0000 0.0000 0.1667
Mg 0.5000 0.5000 0.0000
Mg 0.0000 0.5000 0.3333
Co 0.3950 0.7900 0.1667
Co 0.7900 0.3950 0.8333
Co 0.6050 0.3950 0.5000
Co 0.6050 0.2100 0.1667
Co 0.3950 0.6050 0.5000
Co 0.2100 0.6050 0.8333
Sc 0.5000 0.5000 0.2812
Sc 0.0000 0.5000 0.6146
Sc 0.5000 0.5000 0.7188
Sc 0.0000 0.5000 0.0521
Sc 0.5000 0.0000 0.9479
Sc 0.5000 0.0000 0.3854

---

No. 9
Density functional theory data (PBE) for an optimized crystal structure of Mg2Sc5Co2.

Values from the calculation:
ΔE_f, eV per atom: -0.164
Fermi-level density of states, states/eV/cell: 15.99
SG: Cmce (64)
Total magnetic moment, μB/cell: 0.00

a b c (Å): 6.7353 6.7015 9.0257
angles (deg): 90.00 68.09 90.00
Positions (direct):
Mg 0.2336 0.0000 0.5328
Mg 0.7336 0.5000 0.5328
Mg 0.7664 0.0000 0.4672
Mg 0.2664 0.5000 0.4672
Sc 0.0000 0.0000 0.0000
Sc 0.5000 0.5000 0.0000
Sc 0.4207 0.1847 0.7801
Sc 0.7992 0.8153 0.7801
Sc 0.2992 0.6847 0.7801
Sc 0.9207 0.3153 0.7801
Sc 0.5793 0.8153 0.2199
Sc 0.2008 0.1847 0.2199
Sc 0.7008 0.3153 0.2199
Sc 0.0793 0.6847 0.2199
Co 0.1188 0.3840 0.0000
Co 0.8812 0.6160 0.0000
Co 0.3812 0.8840 0.0000
Co 0.6188 0.1160 0.0000

---

No. 10
Density functional theory data (PBE) for an optimized crystal structure of MgScCoSe2.

Values from the calculation:
Fermi-level density of states, states/eV/cell: 6.31
Total energy, eV per cell: -19.8
SG: P4/mmm (123)
Total magnetic moment, μB/cell: 2.33

a b c (Å): 5.0520 5.6399 5.0520
angles (deg): 90.00 90.00 90.00
Positions (direct):
Sc 0.0000 0.0000 0.0000
Mg 0.0000 0.5000 0.0000
Co 0.5000 0.5000 0.5000
Se 0.0000 0.0000 0.5000
Se 0.5000 0.0000 0.0000

---

No. 11
Density functional theory data (PBE) for an optimized crystal structure of MgSc2Co5Si2.

Values from the calculation:
Fermi-level density of states, states/eV/cell: 8.81
Total energy, eV per cell: -130.3
SG: P4/mbm (127)
Total magnetic moment, μB/cell: 0.00

a b c (Å): 3.2296 9.2052 9.2052
angles (deg): 90.00 90.00 90.00
Positions (direct):
Mg 0.0000 0.0000 0.0000
Mg 0.0000 0.5000 0.5000
Sc 0.0000 0.6749 0.1749
Sc 0.0000 0.3251 0.8251
Sc 0.0000 0.1749 0.3251
Sc 0.0000 0.8251 0.6749
Co 0.5000 0.2176 0.0671
Co 0.5000 0.7824 0.9329
Co 0.5000 0.0671 0.7824
Co 0.5000 0.7176 0.4329
Co 0.5000 0.9329 0.2176
Co 0.5000 0.2824 0.5671
Co 0.5000 0.5671 0.7176
Co 0.5000 0.4329 0.2824
Co 0.5000 0.5000 0.0000
Co 0.5000 0.0000 0.5000
Si 0.0000 0.1227 0.6227
Si 0.0000 0.8773 0.3773
Si 0.0000 0.6227 0.8773
Si 0.0000 0.3773 0.1227

---

No. 12
Density functional theory data (PBE) for an optimized crystal structure of MgScCoSn2.

Values from the calculation:
ΔE_f, eV per atom: 0.016
Fermi-level density of states, states/eV/cell: 3.86
SG: P4/mmm (123)
Total magnetic moment, μB/cell: 0.00

a b c (Å): 4.8639 4.6996 4.8639
angles (deg): 90.00 90.00 90.00
Positions (direct):
Sc 0.5000 0.5000 0.5000
Mg 0.0000 0.5000 0.0000
Co 0.0000 0.0000 0.0000
Sn 0.0000 0.0000 0.5000
Sn 0.5000 0.0000 0.0000

---

No. 13
Density functional theory data (PBE) for an optimized crystal structure of SrMgSc2Co.

Values from the calculation:
ΔE_f, eV per atom: -0.043
Fermi-level density of states, states/eV/cell: 3.79
SG: P4/mmm (123)
Total magnetic moment, μB/cell: 0.00

a b c (Å): 4.9055 4.9055 5.2299
angles (deg): 90.00 90.00 90.00
Positions (direct):
Sc 0.0000 0.5000 0.0000
Sc 0.5000 0.0000 0.0000
Sr 0.5000 0.5000 0.5000
Mg 0.0000 0.0000 0.5000
Co 0.0000 0.0000 0.0000

---

No. 14
Density functional theory data (PBE) for an optimized crystal structure of Mg2ScTlCo.

Values from the calculation:
ΔE_f, eV per atom: 0.032
Energy above the lowest structure with this stoichiometry, eV/atom: 0.0000
Fermi-level density of states, states/eV/cell: 3.38
SG: P4/mmm (123)
Total magnetic moment, μB/cell: 0.00

a b c (Å): 4.9544 4.9544 4.5923
angles (deg): 90.00 90.00 90.00
Positions (direct):
Sc 0.0000 0.0000 0.5000
Tl 0.5000 0.5000 0.5000
Co 0.0000 0.0000 0.0000
Mg 0.0000 0.5000 0.0000
Mg 0.5000 0.0000 0.0000

---

No. 15
Density functional theory data (PBE) for an optimized crystal structure of Mg2ScTlCo.

Values from the calculation:
ΔE_f, eV per atom: 0.827
Energy above the lowest structure with this stoichiometry, eV/atom: 0.7944
Fermi-level density of states, states/eV/cell: 4.02
SG: P4/mmm (123)
Total magnetic moment, μB/cell: 0.00

a b c (Å): 5.7551 4.2668 5.7551
angles (deg): 90.00 90.00 90.00
Positions (direct):
Sc 0.0000 0.0000 0.0000
Tl 0.5000 0.5000 0.5000
Co 0.0000 0.5000 0.0000
Mg 0.0000 0.0000 0.5000
Mg 0.5000 0.0000 0.0000

---

No. 16
Density functional theory data (PBE) for an optimized crystal structure of TmMgScCo.

Values from the calculation:
ΔE_f, eV per atom: -0.048
Energy above the lowest structure with this stoichiometry, eV/atom: 0.1491
Fermi-level density of states, states/eV/cell: 2.19
SG: F-43m (216)
Total magnetic moment, μB/cell: 0.10

a b c (Å): 4.8233 4.8233 4.8233
angles (deg): 60.00 60.00 60.00
Positions (direct):
Sc 0.7500 0.7500 0.7500
Mg 0.0000 0.0000 0.0000
Tm 0.2500 0.2500 0.2500
Co 0.5000 0.5000 0.5000

---

No. 17
Density functional theory data (PBE) for an optimized crystal structure of TmMgScCo.

Values from the calculation:
ΔE_f, eV per atom: -0.197
Energy above the lowest structure with this stoichiometry, eV/atom: 0.0000
Fermi-level density of states, states/eV/cell: 3.04
SG: P4mm (99)
Total magnetic moment, μB/cell: 0.63

a b c (Å): 3.2578 3.2578 7.8598
angles (deg): 90.00 90.00 90.00
Positions (direct):
Tm 0.5000 0.5000 0.7701
Mg 0.0000 0.0000 0.0853
Sc 0.5000 0.5000 0.3733
Co 0.0000 0.0000 0.5560

---

No. 18
Density functional theory data (PBE) for an optimized crystal structure of Y2MgScCo.

Values from the calculation:
ΔE_f, eV per atom: -0.043
Fermi-level density of states, states/eV/cell: 6.41
SG: P4/mmm (123)
Total magnetic moment, μB/cell: 0.00

a b c (Å): 5.2686 5.2686 4.8154
angles (deg): 90.00 90.00 90.00
Positions (direct):
Y 0.0000 0.5000 0.0000
Y 0.5000 0.0000 0.0000
Sc 0.0000 0.0000 0.5000
Mg 0.5000 0.5000 0.5000
Co 0.0000 0.0000 0.0000

---

No. 19
Density functional theory data (PBE) for an optimized crystal structure of YMg2ScCo.

Values from the calculation:
ΔE_f, eV per atom: 0.002
Fermi-level density of states, states/eV/cell: 4.60
SG: P4/mmm (123)
Total magnetic moment, μB/cell: 0.00

a b c (Å): 4.9782 4.9782 4.5800
angles (deg): 90.00 90.00 90.00
Positions (direct):
Y 0.5000 0.5000 0.5000
Sc 0.0000 0.0000 0.5000
Mg 0.0000 0.5000 0.0000
Mg 0.5000 0.0000 0.0000
Co 0.0000 0.0000 0.0000

---

No. 20
Density functional theory data (PBE) for an optimized crystal structure of MgCo2Se.

Values from the calculation:
Energy above the lowest structure with this stoichiometry, eV/atom: 0.1098
Fermi-level density of states, states/eV/cell: 4.96
SG: I-4m2 (119)
Total magnetic moment, μB/cell: 2.17

a b c (Å): 4.8310 4.8310 4.8310
angles (deg): 135.45 135.45 64.84
Positions (direct):
Co 0.0000 0.0000 0.0000
Co 0.2500 0.7500 0.5000
Mg 0.5000 0.5000 0.0000
Se 0.7500 0.2500 0.5000